1.
VASP calculation (PBE) on a relaxed ScHgBr3 crystal.

## Properties
Total magnetic moment   0.00 μB/f.u.
ρ   3.98 g cm⁻³
Energy above the most stable polymorph in this dataset   0.000 eV per atom

abc: 6.7850 6.7850 30.4374
angles: 90.00 90.00 120.00
Space group R-3 (No. 148, hexagonal axes)
One atom of each set of equivalent atoms:
1 Sc 0.0000 0.0000 0.1668 [6 per cell]
2 Hg 0.0000 0.0000 0.3370 [6 per cell]
3 Br 0.0004 0.3606 0.5507 [18 per cell]

---

2.
VASP calculation (PBE) on a relaxed ScHgBr3 crystal.

## Properties
Total magnetic moment   0.00 μB/f.u.
ρ   3.69 g cm⁻³
Energy above the most stable polymorph in this dataset   0.151 eV per atom

abc: 4.2604 8.9627 11.4452
angles: 90.00 90.00 90.00
Space group Amm2 (No. 38)
One atom of each set of equivalent atoms:
1 Sc 0.0000 0.0000 0.0000 [2 per cell]
2 Hg 0.5000 0.0000 0.6074 [2 per cell]
3 Br 0.0000 0.2235 0.8805 [4 per cell]
4 Br 0.5000 0.0000 0.1354 [2 per cell]

---

3.
VASP calculation (PBE) on a relaxed ScHgBr3 crystal.

## Properties
Total magnetic moment   0.00 μB/f.u.
ρ   3.61 g cm⁻³
Energy above the most stable polymorph in this dataset   0.032 eV per atom

abc: 6.6824 7.0754 10.5766
angles: 109.24 107.63 90.48
Space group P1 (No. 1)
One atom of each set of equivalent atoms:
1 Sc 0.0000 0.0000 0.0000 [1 per cell]
2 Sc 0.5000 0.0001 0.0000 [1 per cell]
3 Hg 0.4628 0.6142 0.4400 [1 per cell]
4 Hg 0.9638 0.8229 0.4385 [1 per cell]
5 Br 0.1571 0.7544 0.8107 [1 per cell]
6 Br 0.2509 0.2928 0.9965 [1 per cell]
7 Br 0.3421 0.9526 0.1929 [1 per cell]
8 Br 0.6601 0.0593 0.8112 [1 per cell]
9 Br 0.7452 0.7035 0.9955 [1 per cell]
10 Br 0.8449 0.2380 0.1934 [1 per cell]

---

4.
VASP calculation (PBE) on a relaxed ScHgBr3 crystal.

## Properties
Total magnetic moment   0.00 μB/f.u.
ρ   5.03 g cm⁻³
Energy above the most stable polymorph in this dataset   0.102 eV per atom

abc: 14.3684 14.1166 7.0066
angles: 90.00 115.67 90.00
Space group C2/c (No. 15)
One atom of each set of equivalent atoms:
1 Sc 0.1592 0.1265 0.4327 [8 per cell]
2 Hg 0.0000 0.3785 0.7500 [4 per cell]
3 Hg 0.0000 0.3929 0.2500 [4 per cell]
4 Br 0.0181 0.1374 0.0280 [8 per cell]
5 Br 0.2228 0.2741 0.7057 [8 per cell]
6 Br 0.2293 0.0291 0.8123 [8 per cell]

---

5.
VASP calculation (PBE) on a relaxed ScHgBr3 crystal.

## Properties
Total magnetic moment   0.00 μB/f.u.
ρ   3.75 g cm⁻³
Energy above the most stable polymorph in this dataset   0.147 eV per atom

abc: 5.0855 5.0855 8.3114
angles: 90.00 90.00 90.00
Space group P4mm (No. 99)
One atom of each set of equivalent atoms:
1 Sc 0.0000 0.0000 0.0000 [1 per cell]
2 Hg 0.5000 0.5000 0.4979 [1 per cell]
3 Br 0.0000 0.0000 0.7102 [1 per cell]
4 Br 0.0000 0.5000 0.0972 [2 per cell]

---

6.
VASP calculation (PBE) on a relaxed ScHgBr3 crystal.

## Properties
Total magnetic moment   1.54 μB/f.u.
ρ   4.66 g cm⁻³
Energy above the most stable polymorph in this dataset   1.253 eV per atom

abc: 5.5720 5.5720 5.5720
angles: 90.00 90.00 90.00
Space group Pm-3m (No. 221)
One atom of each set of equivalent atoms:
1 Sc 0.0000 0.0000 0.0000 [1 per cell]
2 Hg 0.5000 0.5000 0.5000 [1 per cell]
3 Br 0.0000 0.5000 0.5000 [3 per cell]

---

7.
VASP calculation (PBE) on a relaxed ScHgBr3 crystal.

## Properties
Total magnetic moment   0.00 μB/f.u.
ρ   5.54 g cm⁻³
Energy above the most stable polymorph in this dataset   0.313 eV per atom

abc: 4.1881 7.0364 9.8717
angles: 90.00 90.00 90.00
Space group Pmmn (No. 59, origin choice 2)
One atom of each set of equivalent atoms:
1 Sc 0.2500 0.2500 0.0892 [2 per cell]
2 Hg 0.2500 0.2500 0.3762 [2 per cell]
3 Br 0.2500 0.0011 0.8598 [4 per cell]
4 Br 0.2500 0.7500 0.4214 [2 per cell]

---

8.
VASP calculation (PBE) on a relaxed ScHgBr2 crystal.

## Properties
Total magnetic moment   1.00 μB/f.u.
ρ   6.63 g cm⁻³
Energy above the most stable polymorph in this dataset   0.552 eV per atom

abc: 7.4063 7.4063 7.4063
angles: 90.00 90.00 90.00
Space group Fm-3m (No. 225)
One atom of each set of equivalent atoms:
1 Sc 0.0000 0.0000 0.0000 [4 per cell]
2 Hg 0.0000 0.0000 0.5000 [4 per cell]
3 Br 0.2500 0.2500 0.2500 [8 per cell]

---

9.
VASP calculation (PBE) on a relaxed ScHgSe2Br crystal.

## Properties
Total magnetic moment   0.46 μB/f.u.
ρ   5.45 g cm⁻³
Energy above the most stable polymorph in this dataset   0.734 eV per atom

abc: 5.2273 5.2273 5.3927
angles: 90.00 90.00 90.00
Space group P4/mmm (No. 123)
One atom of each set of equivalent atoms:
1 Sc 0.0000 0.0000 0.0000 [1 per cell]
2 Hg 0.5000 0.5000 0.5000 [1 per cell]
3 Se 0.0000 0.5000 0.5000 [2 per cell]
4 Br 0.5000 0.5000 0.0000 [1 per cell]

---

10.
VASP calculation (PBE) on a relaxed ScHgSe2Br crystal.

## Properties
Total magnetic moment   0.00 μB/f.u.
ρ   5.56 g cm⁻³
Energy above the most stable polymorph in this dataset   0.000 eV per atom

abc: 5.2547 5.2547 5.2240
angles: 90.00 90.00 90.00
Space group P4/mmm (No. 123)
One atom of each set of equivalent atoms:
1 Sc 0.0000 0.0000 0.0000 [1 per cell]
2 Hg 0.5000 0.5000 0.5000 [1 per cell]
3 Se 0.0000 0.5000 0.0000 [2 per cell]
4 Br 0.0000 0.0000 0.5000 [1 per cell]

---

11.
VASP calculation (PBE) on a relaxed ScHgSeBr2 crystal.

## Properties
Total magnetic moment   0.00 μB/f.u.
ρ   5.40 g cm⁻³
Energy above the most stable polymorph in this dataset   0.000 eV per atom

abc: 5.2422 5.2422 5.4194
angles: 90.00 90.00 90.00
Space group P4/mmm (No. 123)
One atom of each set of equivalent atoms:
1 Sc 0.0000 0.0000 0.0000 [1 per cell]
2 Hg 0.5000 0.5000 0.5000 [1 per cell]
3 Se 0.0000 0.0000 0.5000 [1 per cell]
4 Br 0.0000 0.5000 0.0000 [2 per cell]

---

12.
VASP calculation (PBE) on a relaxed ScHgSeBr2 crystal.

## Properties
Total magnetic moment   0.91 μB/f.u.
ρ   5.08 g cm⁻³
Energy above the most stable polymorph in this dataset   0.900 eV per atom

abc: 5.4034 5.4034 5.4201
angles: 90.00 90.00 90.00
Space group P4/mmm (No. 123)
One atom of each set of equivalent atoms:
1 Sc 0.0000 0.0000 0.0000 [1 per cell]
2 Hg 0.5000 0.5000 0.5000 [1 per cell]
3 Se 0.5000 0.5000 0.0000 [1 per cell]
4 Br 0.0000 0.5000 0.5000 [2 per cell]